[1]
A plane-wave DFT calculation with GGA-PBE was carried out for crystalline Na2AgP2O7 at its relaxed geometry.

Calculated values
The calculation puts the calculated total energy at -0.4502 Ry/atom. The symmetry is No. 15.

Lattice parameters (Å, degrees): 7.842 7.842 8.037 112.03 112.03 44.11
Fractional positions:
O (0.931, 0.309, 0.210)
O (0.269, 0.355, 0.106)
O (0.647, 0.131, 0.981)
O (0.353, 0.869, 0.019)
O (0.355, 0.269, 0.606)
O (0.131, 0.647, 0.481)
O (0.691, 0.069, 0.290)
O (0.482, 0.518, 0.750)
O (0.309, 0.931, 0.710)
O (0.069, 0.691, 0.790)
O (0.869, 0.353, 0.519)
O (0.518, 0.482, 0.250)
O (0.731, 0.645, 0.894)
O (0.645, 0.731, 0.394)
Na (0.645, 0.894, 0.698)
Na (0.355, 0.106, 0.302)
Na (0.894, 0.645, 0.198)
Na (0.106, 0.355, 0.802)
P (0.251, 0.531, 0.653)
P (0.749, 0.469, 0.347)
P (0.531, 0.251, 0.153)
P (0.469, 0.749, 0.847)
Ag (0.000, 0.000, 0.000)
Ag (0.000, 0.000, 0.500)

=====

[2]
A plane-wave DFT calculation with GGA-PBE was carried out for crystalline NaAgPO at its relaxed geometry.

Calculated values
The value obtained for the energy relative to the lowest polymorph listed for this composition is 227 meV per atom. The calculation puts the calculated total energy at -0.2679 Ry/atom. The symmetry is No. 129.

Lattice parameters (Å, degrees): 4.265 4.265 6.402 90.00 90.00 90.00
Fractional positions:
Na (0.500, 0.000, 0.860)
Na (0.000, 0.500, 0.140)
Ag (0.000, 0.000, 0.500)
Ag (0.500, 0.500, 0.500)
P (0.500, 0.000, 0.272)
P (0.000, 0.500, 0.728)
O (0.500, 0.500, 0.000)
O (0.000, 0.000, 0.000)

=====

[3]
A plane-wave DFT calculation with GGA-PBE was carried out for crystalline NaAgPO at its relaxed geometry.

Calculated values
The value obtained for the energy relative to the lowest polymorph listed for this composition is 425 meV per atom. The calculation puts the calculated total energy at -0.2534 Ry/atom. The symmetry is No. 129.

Lattice parameters (Å, degrees): 4.153 4.153 8.770 90.00 90.00 90.00
Fractional positions:
O (0.750, 0.250, 0.000)
O (0.250, 0.750, 0.000)
Ag (0.750, 0.750, 0.744)
Ag (0.250, 0.250, 0.256)
Na (0.750, 0.250, 0.500)
Na (0.250, 0.750, 0.500)
P (0.250, 0.250, 0.966)
P (0.750, 0.750, 0.034)

=====

[4]
A plane-wave DFT calculation with GGA-PBE was carried out for crystalline NaAgPO at its relaxed geometry.

Calculated values
The value obtained for the energy relative to the lowest polymorph listed for this composition is 10 meV per atom. The calculation puts the calculated total energy at -0.2838 Ry/atom. The symmetry is No. 26.

Lattice parameters (Å, degrees): 3.966 8.447 4.345 90.00 90.00 90.00
Fractional positions:
O (0.500, 0.849, 0.440)
O (0.500, 0.151, 0.940)
Ag (0.000, 0.240, 0.943)
Ag (0.000, 0.760, 0.443)
P (0.000, 0.455, 0.430)
P (0.000, 0.545, 0.930)
Na (0.500, 0.120, 0.441)
Na (0.500, 0.880, 0.941)

=====

[5]
A plane-wave DFT calculation with GGA-PBE was carried out for crystalline NaAgPbO3 at its relaxed geometry.

Calculated values
The calculation puts the calculated total energy at -0.3428 Ry/atom. The symmetry is No. 62.

Lattice parameters (Å, degrees): 9.078 3.343 12.182 90.00 90.00 90.00
Fractional positions:
Ag (0.020, 0.000, 0.600)
Ag (0.480, 0.000, 0.100)
Ag (0.980, 0.500, 0.400)
Ag (0.520, 0.500, 0.900)
O (0.311, 0.500, 0.829)
O (0.741, 0.500, 0.947)
O (0.990, 0.500, 0.100)
O (0.490, 0.000, 0.400)
O (0.010, 0.000, 0.900)
O (0.241, 0.000, 0.553)
O (0.189, 0.500, 0.329)
O (0.811, 0.000, 0.671)
O (0.259, 0.000, 0.053)
O (0.689, 0.000, 0.171)
O (0.510, 0.500, 0.600)
O (0.759, 0.500, 0.447)
Na (0.865, 0.500, 0.786)
Na (0.365, 0.000, 0.714)
Na (0.635, 0.500, 0.286)
Na (0.135, 0.000, 0.214)
Pb (0.661, 0.000, 0.540)
Pb (0.839, 0.000, 0.040)
Pb (0.339, 0.500, 0.460)
Pb (0.161, 0.500, 0.960)

=====

[6]
A plane-wave DFT calculation with GGA-PBE was carried out for crystalline NaAgPtO3 at its relaxed geometry.

Calculated values
The calculation puts the calculated total energy at -0.3560 Ry/atom. The symmetry is No. 62.

Lattice parameters (Å, degrees): 8.681 3.179 11.714 90.00 90.00 90.00
Fractional positions:
Ag (0.483, 0.000, 0.099)
Ag (0.517, 0.500, 0.901)
Ag (0.017, 0.000, 0.599)
Ag (0.983, 0.500, 0.401)
O (0.518, 0.500, 0.597)
O (0.706, 0.000, 0.165)
O (0.982, 0.500, 0.097)
O (0.206, 0.500, 0.335)
O (0.754, 0.500, 0.461)
O (0.254, 0.000, 0.039)
O (0.018, 0.000, 0.903)
O (0.746, 0.500, 0.961)
O (0.246, 0.000, 0.539)
O (0.794, 0.000, 0.665)
O (0.294, 0.500, 0.835)
O (0.482, 0.000, 0.403)
Pt (0.351, 0.500, 0.464)
Pt (0.851, 0.000, 0.036)
Pt (0.649, 0.000, 0.536)
Pt (0.149, 0.500, 0.964)
Na (0.359, 0.000, 0.713)
Na (0.641, 0.500, 0.287)
Na (0.141, 0.000, 0.213)
Na (0.859, 0.500, 0.787)

=====

[7]
A plane-wave DFT calculation with GGA-PBE was carried out for crystalline NaAg3PtO4 at its relaxed geometry.

Calculated values
The calculation puts the calculated total energy at -0.2840 Ry/atom. The symmetry is No. 215.

Lattice parameters (Å, degrees): 5.371 5.371 5.371 90.00 90.00 90.00
Last column: magnetic moment on the atom in μB.
Fractional positions:
O (0.260, 0.260, 0.260)  0.47
O (0.740, 0.740, 0.260)  0.46
O (0.260, 0.740, 0.740)  0.44
O (0.740, 0.260, 0.740)  0.44
Ag (0.500, 0.500, 0.000)  0.16
Ag (0.000, 0.500, 0.500)  0.24
Ag (0.500, 0.000, 0.500)  0.25
Na (0.000, 0.000, 0.000)  0.01
Pt (0.500, 0.500, 0.500)  1.33

=====

[8]
A plane-wave DFT calculation with GGA-PBE was carried out for crystalline Rb2NaAgO2 at its relaxed geometry.

Calculated values
The calculation puts the calculated total energy at -0.2572 Ry/atom. The symmetry is No. 72.

Lattice parameters (Å, degrees): 7.472 7.472 7.472 131.32 74.47 127.41
Fractional positions:
Rb (0.990, 0.750, 0.240)
Rb (0.510, 0.750, 0.760)
Rb (0.010, 0.250, 0.760)
Rb (0.490, 0.250, 0.240)
O (0.607, 0.774, 0.381)
O (0.893, 0.274, 0.167)
O (0.107, 0.726, 0.833)
O (0.393, 0.226, 0.619)
Na (0.250, 0.750, 0.500)
Na (0.750, 0.250, 0.500)
Ag (0.000, 0.000, 0.000)
Ag (0.500, 0.500, 0.000)

=====

Copy entry 4 word for word.
A plane-wave DFT calculation with GGA-PBE was carried out for crystalline NaAgPO at its relaxed geometry.

Calculated values
The value obtained for the energy relative to the lowest polymorph listed for this composition is 10 meV per atom. The calculation puts the calculated total energy at -0.2838 Ry/atom. The symmetry is No. 26.

Lattice parameters (Å, degrees): 3.966 8.447 4.345 90.00 90.00 90.00
Fractional positions:
O (0.500, 0.849, 0.440)
O (0.500, 0.151, 0.940)
Ag (0.000, 0.240, 0.943)
Ag (0.000, 0.760, 0.443)
P (0.000, 0.455, 0.430)
P (0.000, 0.545, 0.930)
Na (0.500, 0.120, 0.441)
Na (0.500, 0.880, 0.941)

=====

> Number 3 is which compound?

NaAgPO

=====

> The highest calculated total energy belongs to which entry?

number 3